No. 1
The following is a PBE calculation of a relaxed Tl2H6S crystal, from Alexandria via LeMat-Bulk.

Calculated values
- space group = P-1
- calculated total energy (eV/atom) = -3.09

Unit cell a=4.784 b=6.580 c=6.578 alpha=125.04 beta=96.80 gamma=97.16
Element x y z (fractional)
H  0.973  0.671  0.443
H  0.331  0.178  0.179
H  0.027  0.329  0.557
Tl  0.499  0.843  0.155
H  0.669  0.822  0.821
Tl  0.501  0.157  0.845
H  0.024  0.568  0.331
S  0.000  0.000  0.000
H  0.976  0.432  0.669



No. 2
The following is a PBE calculation of a relaxed LaAl4Pt crystal, from Alexandria via LeMat-Bulk.

Calculated values
- space group = F-43m
- DFT formation energy (kJ/mol of formula units) = -119

Unit cell a=5.494 b=5.494 c=5.494 alpha=60.00 beta=60.00 gamma=60.00
Element x y z (fractional)
Al  0.872  0.376  0.376
Al  0.376  0.376  0.872
La  0.750  0.750  0.750
Pt  0.000  0.000  0.000
Al  0.376  0.376  0.376
Al  0.376  0.872  0.376



No. 3
The following is a PBE calculation of a relaxed TlH4Br3N crystal, from Alexandria via LeMat-Bulk.

Calculated values
- space group = P1
- calculated total energy (eV/atom) = -3.81

Unit cell a=7.283 b=6.892 c=8.406 alpha=78.78 beta=95.08 gamma=88.40
Element x y z (fractional)
Tl  0.029  0.833  0.523
N  0.485  0.397  0.556
H  0.979  0.270  0.099
H  0.972  0.423  0.914
Br  0.483  0.338  0.960
H  0.624  0.419  0.544
H  0.455  0.254  0.543
Br  0.208  0.710  0.254
H  0.402  0.500  0.470
Br  0.902  0.921  0.801
Br  0.953  0.450  0.607
H  0.054  0.504  0.085
H  0.179  0.339  0.012
Br  0.380  0.911  0.616
Br  0.798  0.071  0.303
N  0.044  0.383  0.028
Tl  0.529  0.869  0.007
H  0.462  0.407  0.676



No. 4
The following is a PBE calculation of a relaxed SrBe2OsI crystal, from Alexandria via LeMat-Bulk.

Calculated values
- space group = P4/mmm
- E_form (uncorrected) (eV per atom) = 2.391

Unit cell a=5.965 b=6.071 c=5.965 alpha=90.00 beta=90.00 gamma=90.00
Element x y z (fractional)
Be  0.000  0.000  0.500
Be  0.500  0.000  0.000
I  0.000  0.500  0.000
Os  0.500  0.500  0.500
Sr  0.000  0.000  0.000



No. 5
The following is a PBE calculation of a relaxed Ce2SmSi6 crystal, from Alexandria via LeMat-Bulk.

Calculated values
- space group = P6/mmm
- E_form (uncorrected) (eV per atom) = -0.640

Unit cell a=4.121 b=7.062 c=7.062 alpha=120.00 beta=90.00 gamma=90.00
Element x y z (fractional)
Si  0.500  0.000  0.666
Si  0.500  0.334  0.000
Sm  0.000  0.000  0.000
Si  0.500  0.666  0.666
Si  0.500  0.334  0.334
Ce  0.000  0.667  0.333
Ce  0.000  0.333  0.667
Si  0.500  0.000  0.334
Si  0.500  0.666  0.000



No. 6
The following is a PBE calculation of a relaxed Sm3Sc2In3 crystal, from Alexandria via LeMat-Bulk.

Calculated values
- space group = Immm
- DFT formation energy (kJ/mol of formula units) = -264

Unit cell a=4.405 b=4.890 c=10.600 alpha=103.34 beta=101.99 gamma=90.00
Element x y z (fractional)
Sc  0.742  0.242  0.484
In  0.138  0.138  0.277
Sm  0.623  0.623  0.247
Sm  0.377  0.377  0.753
In  0.862  0.862  0.723
In  0.000  0.500  0.000
Sc  0.258  0.758  0.516
Sm  0.500  0.000  0.000



No. 7
The following is a PBE calculation of a relaxed MgMnGaSiS crystal, from Alexandria via LeMat-Bulk.

Calculated values
- space group = Pm
- E_form (uncorrected) (eV per atom) = -0.285

Unit cell a=3.327 b=3.431 c=8.003 alpha=90.00 beta=90.03 gamma=90.00
Element x y z (fractional)
Mn  0.165  0.500  0.742
Mg  0.666  0.000  0.131
Si  0.666  0.000  0.683
Ga  0.686  0.500  0.441
S  0.166  0.500  0.031



No. 8
The following is a PBE calculation of a relaxed MnIn2Br crystal, from Alexandria via LeMat-Bulk.

Calculated values
- space group = R-3m
- E_form (uncorrected) (eV per atom) = 0.101

Unit cell a=8.871 b=8.871 c=8.871 alpha=22.93 beta=22.93 gamma=22.93
Element x y z (fractional)
Mn  0.250  0.250  0.250
In  0.509  0.509  0.509
In  0.991  0.991  0.991
Br  0.750  0.750  0.750